[1]
A plane-wave DFT calculation with PBE was carried out for Na4SiBi3Se8 after structural relaxation.

Unit cell a=8.5638 b=8.5638 c=8.5638 alpha=57.85 beta=57.85 gamma=57.85
Atoms (fractional coordinates):
Na (0.0000, 0.0000, 0.0000)
Na (0.0000, 0.5000, 0.5000)
Na (0.5000, 0.0000, 0.5000)
Na (0.5000, 0.5000, 0.0000)
Si (0.5000, 0.5000, 0.5000)
Bi (0.0000, 0.0000, 0.5000)
Bi (0.0000, 0.5000, 0.0000)
Bi (0.5000, 0.0000, 0.0000)
Se (0.2475, 0.2475, 0.2475)
Se (0.2703, 0.7264, 0.7264)
Se (0.2736, 0.2736, 0.7297)
Se (0.2736, 0.7297, 0.2736)
Se (0.7264, 0.2703, 0.7264)
Se (0.7264, 0.7264, 0.2703)
Se (0.7297, 0.2736, 0.2736)
Se (0.7525, 0.7525, 0.7525)

Summary:
Mass density (g/cm³): 5.42
Uncorrected formation energy (eV/atom): -0.65


[2]
A plane-wave DFT calculation with PBE was carried out for Na2SiBiSe4 after structural relaxation.

Unit cell a=7.8217 b=7.8217 c=7.3886 alpha=90.00 beta=90.00 gamma=90.00
Atoms (fractional coordinates):
Na (0.0000, 0.0000, 0.0000)
Na (0.0000, 0.5000, 0.2500)
Na (0.5000, 0.0000, 0.7500)
Na (0.5000, 0.5000, 0.5000)
Si (0.0000, 0.0000, 0.5000)
Si (0.5000, 0.5000, 0.0000)
Bi (0.0000, 0.5000, 0.7500)
Bi (0.5000, 0.0000, 0.2500)
Se (0.1691, 0.1704, 0.3189)
Se (0.1704, 0.8309, 0.6811)
Se (0.3296, 0.6691, 0.1811)
Se (0.3309, 0.3296, 0.8189)
Se (0.6691, 0.6704, 0.8189)
Se (0.6704, 0.3309, 0.1811)
Se (0.8296, 0.1691, 0.6811)
Se (0.8309, 0.8296, 0.3189)

Summary:
Mass density (g/cm³): 4.40
Uncorrected formation energy (eV/atom): -0.63